--- P ---
Compound: BeSiTeW
Source: the Open Quantum Materials Database
Functional: GGA-PBE
Structure: relaxed

abc: 4.501 4.501 4.501
angles: 60.00 60.00 60.00
Element x y z (fractional)
Be 0.000 0.000 0.000
Si 0.750 0.750 0.750
Te 0.250 0.250 0.250
W 0.500 0.500 0.500

Properties
M_tot (μB per formula unit): 0.06
Space-group type: F-43m, No. 216



--- Q ---
Compound: BeSiTeW
Source: the Open Quantum Materials Database
Functional: GGA-PBE
Structure: relaxed

abc: 4.486 4.486 4.486
angles: 60.00 60.00 60.00
Element x y z (fractional)
Be 0.000 0.000 0.000
Si 0.500 0.500 0.500
Te 0.250 0.250 0.250
W 0.750 0.750 0.750

Properties
M_tot (μB per formula unit): 0.05
Space-group type: F-43m, No. 216



--- R ---
Compound: BeSiTeW
Source: the Open Quantum Materials Database
Functional: GGA-PBE
Structure: relaxed

abc: 4.519 4.519 4.519
angles: 60.00 60.00 60.00
Element x y z (fractional)
Be 0.000 0.000 0.000
Si 0.250 0.250 0.250
Te 0.500 0.500 0.500
W 0.750 0.750 0.750

Properties
M_tot (μB per formula unit): 0.11
Space-group type: F-43m, No. 216



Stability ranking, top and bottom: P is the most stable and R is the least stable.



--- P ---
Compound: SmBe2
Source: the Open Quantum Materials Database
Functional: GGA-PBE
Structure: relaxed

abc: 4.493 4.493 4.493
angles: 60.00 60.00 60.00
Element x y z (fractional)
Sm 0.000 0.000 0.000
Be 0.250 0.250 0.250
Be 0.750 0.750 0.750

Properties
M_tot (μB per formula unit): 0.03
Space-group type: Fm-3m, No. 225



--- Q ---
Compound: SmBe2
Source: the Open Quantum Materials Database
Functional: GGA-PBE
Structure: relaxed

abc: 5.108 5.108 5.108
angles: 60.00 60.00 60.00
Element x y z (fractional)
Sm 0.125 0.125 0.125
Sm 0.875 0.875 0.875
Be 0.000 0.500 0.500
Be 0.500 0.000 0.500
Be 0.500 0.500 0.000
Be 0.500 0.500 0.500

Properties
M_tot (μB per formula unit): 0.00
Space-group type: Fd-3m, No. 227



Stability ranking, top and bottom: Q is the most stable and P is the least stable.



--- P ---
Compound: SmBe
Source: the Open Quantum Materials Database
Functional: GGA-PBE
Structure: relaxed

abc: 3.548 3.548 4.293
angles: 90.00 90.00 120.00
Element x y z (fractional)
Sm 0.000 0.000 0.000
Be 0.333 0.667 0.500

Properties
M_tot (μB per formula unit): 0.00
Space-group type: P-6m2, No. 187



--- Q ---
Compound: SmBe
Source: the Open Quantum Materials Database
Functional: GGA-PBE
Structure: relaxed

abc: 4.457 4.457 4.457
angles: 60.00 60.00 60.00
Element x y z (fractional)
Sm 0.000 0.000 0.000
Be 0.250 0.250 0.250

Properties
M_tot (μB per formula unit): 0.66
Space-group type: F-43m, No. 216



Stability ranking, top and bottom: P is the most stable and Q is the least stable.



--- P ---
Compound: SmBeZn
Source: the Open Quantum Materials Database
Functional: GGA-PBE
Structure: relaxed

abc: 4.638 4.638 4.638
angles: 60.00 60.00 60.00
Element x y z (fractional)
Sm 0.000 0.000 0.000
Be 0.750 0.750 0.750
Zn 0.250 0.250 0.250

Properties
M_tot (μB per formula unit): 0.01
Space-group type: F-43m, No. 216



--- Q ---
Compound: SmBeZn
Source: the Open Quantum Materials Database
Functional: GGA-PBE
Structure: relaxed

abc: 4.493 4.493 4.493
angles: 60.00 60.00 60.00
Element x y z (fractional)
Sm 0.000 0.000 0.000
Be 0.500 0.500 0.500
Zn 0.750 0.750 0.750

Properties
M_tot (μB per formula unit): 0.03
Space-group type: F-43m, No. 216



Stability ranking, top and bottom: Q is the most stable and P is the least stable.



--- P ---
Compound: SmBe4Zn8
Source: the Open Quantum Materials Database
Functional: GGA-PBE
Structure: relaxed

abc: 6.482 6.482 6.482
angles: 97.92 97.92 136.42
Element x y z (fractional)
Sm 0.000 0.000 0.000
Be 0.000 0.000 0.500
Be 0.000 0.500 0.000
Be 0.500 0.000 0.000
Be 0.500 0.500 0.500
Zn 0.000 0.348 0.348
Zn 0.000 0.652 0.652
Zn 0.278 0.500 0.778
Zn 0.348 0.000 0.348
Zn 0.500 0.278 0.778
Zn 0.500 0.722 0.222
Zn 0.652 0.000 0.652
Zn 0.722 0.500 0.222

Properties
M_tot (μB per formula unit): 0.00
Space-group type: I4/mmm, No. 139



--- Q ---
Compound: SmBe4Zn8
Source: the Open Quantum Materials Database
Functional: GGA-PBE
Structure: relaxed

abc: 6.481 6.481 6.481
angles: 98.50 98.50 134.78
Element x y z (fractional)
Sm 0.000 0.000 0.000
Be 0.292 0.500 0.792
Be 0.500 0.292 0.792
Be 0.500 0.708 0.208
Be 0.708 0.500 0.208
Zn 0.000 0.000 0.500
Zn 0.000 0.355 0.355
Zn 0.000 0.500 0.000
Zn 0.000 0.645 0.645
Zn 0.355 0.000 0.355
Zn 0.500 0.000 0.000
Zn 0.500 0.500 0.500
Zn 0.645 0.000 0.645

Properties
M_tot (μB per formula unit): 0.01
Space-group type: I4/mmm, No. 139



--- R ---
Compound: SmBe4Zn8
Source: the Open Quantum Materials Database
Functional: GGA-PBE
Structure: relaxed

abc: 6.536 6.536 6.536
angles: 98.37 98.37 135.14
Element x y z (fractional)
Sm 0.000 0.000 0.000
Be 0.000 0.365 0.365
Be 0.000 0.635 0.635
Be 0.365 0.000 0.365
Be 0.635 0.000 0.635
Zn 0.000 0.000 0.500
Zn 0.000 0.500 0.000
Zn 0.260 0.500 0.760
Zn 0.500 0.000 0.000
Zn 0.500 0.260 0.760
Zn 0.500 0.500 0.500
Zn 0.500 0.740 0.240
Zn 0.740 0.500 0.240

Properties
M_tot (μB per formula unit): 0.01
Space-group type: I4/mmm, No. 139



Stability ranking, top and bottom: P is the most stable and R is the least stable.



--- P ---
Compound: BeSnW
Source: the Open Quantum Materials Database
Functional: GGA-PBE
Structure: relaxed

abc: 4.130 4.130 4.130
angles: 60.00 60.00 60.00
Element x y z (fractional)
Be 0.000 0.000 0.000
Sn 0.750 0.750 0.750
W 0.250 0.250 0.250

Properties
M_tot (μB per formula unit): 1.57
Space-group type: F-43m, No. 216



--- Q ---
Compound: BeSnW
Source: the Open Quantum Materials Database
Functional: GGA-PBE
Structure: relaxed

abc: 4.374 4.374 4.374
angles: 60.00 60.00 60.00
Element x y z (fractional)
Be 0.000 0.000 0.000
Sn 0.500 0.500 0.500
W 0.250 0.250 0.250

Properties
M_tot (μB per formula unit): 1.53
Space-group type: F-43m, No. 216



Stability ranking, top and bottom: P is the most stable and Q is the least stable.



--- P ---
Compound: SrBeTc
Source: the Open Quantum Materials Database
Functional: GGA-PBE
Structure: relaxed

abc: 4.492 4.492 4.492
angles: 60.00 60.00 60.00
Element x y z (fractional)
Sr 0.000 0.000 0.000
Be 0.250 0.250 0.250
Tc 0.500 0.500 0.500

Properties
M_tot (μB per formula unit): 1.58
Space-group type: F-43m, No. 216



--- Q ---
Compound: SrBeTc
Source: the Open Quantum Materials Database
Functional: GGA-PBE
Structure: relaxed

abc: 4.814 4.814 4.814
angles: 60.00 60.00 60.00
Element x y z (fractional)
Sr 0.000 0.000 0.000
Be 0.750 0.750 0.750
Tc 0.250 0.250 0.250

Properties
M_tot (μB per formula unit): 3.01
Space-group type: F-43m, No. 216



Stability ranking, top and bottom: P is the most stable and Q is the least stable.



--- P ---
Compound: TaBe
Source: the Open Quantum Materials Database
Functional: GGA-PBE
Structure: relaxed

abc: 3.395 3.395 3.395
angles: 60.00 60.00 60.00
Element x y z (fractional)
Ta 0.000 0.000 0.000
Be 0.500 0.500 0.500

Properties
M_tot (μB per formula unit): 0.00
Space-group type: Fm-3m, No. 225



--- Q ---
Compound: TaBe
Source: the Open Quantum Materials Database
Functional: GGA-PBE
Structure: relaxed

abc: 2.809 2.809 4.298
angles: 90.00 90.00 120.00
Element x y z (fractional)
Ta 0.000 0.000 0.000
Be 0.333 0.667 0.500

Properties
M_tot (μB per formula unit): 0.00
Space-group type: P-6m2, No. 187



--- R ---
Compound: TaBe
Source: the Open Quantum Materials Database
Functional: GGA-PBE
Structure: relaxed

abc: 3.697 3.697 3.697
angles: 60.00 60.00 60.00
Element x y z (fractional)
Ta 0.000 0.000 0.000
Be 0.250 0.250 0.250

Properties
M_tot (μB per formula unit): 0.00
Space-group type: F-43m, No. 216



Stability ranking, top and bottom: P is the most stable and R is the least stable.



--- P ---
Compound: Ta2Be
Source: the Open Quantum Materials Database
Functional: GGA-PBE
Structure: relaxed

abc: 5.351 5.351 5.351
angles: 60.00 60.00 60.00
Element x y z (fractional)
Ta 0.000 0.000 0.000
Ta 0.000 0.000 0.500
Ta 0.000 0.500 0.000
Ta 0.500 0.000 0.000
Be 0.375 0.375 0.375
Be 0.625 0.625 0.625

Properties
M_tot (μB per formula unit): 0.00
Space-group type: Fd-3m, No. 227



--- Q ---
Compound: Ta2Be
Source: the Open Quantum Materials Database
Functional: GGA-PBE
Structure: relaxed

abc: 6.884 6.884 6.884
angles: 60.00 60.00 60.00
Element x y z (fractional)
Ta 0.000 0.000 0.000
Ta 0.000 0.000 0.500
Ta 0.000 0.500 0.000
Ta 0.500 0.000 0.000
Be 0.125 0.125 0.125
Be 0.875 0.875 0.875

Properties
M_tot (μB per formula unit): 3.11
Space-group type: Fd-3m, No. 227



Stability ranking, top and bottom: P is the most stable and Q is the least stable.



--- P ---
Compound: Ta2Be2Tc
Source: the Open Quantum Materials Database
Functional: GGA-PBE
Structure: relaxed

abc: 6.324 6.324 3.293
angles: 90.00 90.00 90.00
Element x y z (fractional)
Ta 0.178 0.322 0.000
Ta 0.322 0.822 0.000
Ta 0.678 0.178 0.000
Ta 0.822 0.678 0.000
Be 0.118 0.618 0.500
Be 0.382 0.118 0.500
Be 0.618 0.882 0.500
Be 0.882 0.382 0.500
Tc 0.000 0.000 0.500
Tc 0.500 0.500 0.500

Properties
M_tot (μB per formula unit): 0.00
Space-group type: P4/mbm, No. 127



--- Q ---
Compound: Ta2Be2Tc
Source: the Open Quantum Materials Database
Functional: GGA-PBE
Structure: relaxed

abc: 3.077 3.077 7.558
angles: 90.00 90.00 90.00
Element x y z (fractional)
Ta 0.000 0.000 0.216
Ta 0.000 0.000 0.784
Be 0.000 0.500 0.500
Be 0.500 0.000 0.500
Tc 0.500 0.500 0.000

Properties
M_tot (μB per formula unit): 0.02
Space-group type: P4/mmm, No. 123



Stability ranking, top and bottom: P is the most stable and Q is the least stable.



--- P ---
Compound: UTaBe
Source: the Open Quantum Materials Database
Functional: GGA-PBE
Structure: relaxed

abc: 4.246 4.246 4.246
angles: 60.00 60.00 60.00
Element x y z (fractional)
U 0.000 0.000 0.000
Ta 0.500 0.500 0.500
Be 0.750 0.750 0.750

Properties
M_tot (μB per formula unit): 1.13
Space-group type: F-43m, No. 216



--- Q ---
Compound: UTaBe
Source: the Open Quantum Materials Database
Functional: GGA-PBE
Structure: relaxed

abc: 4.405 4.405 4.405
angles: 60.00 60.00 60.00
Element x y z (fractional)
U 0.000 0.000 0.000
Ta 0.250 0.250 0.250
Be 0.750 0.750 0.750

Properties
M_tot (μB per formula unit): 0.11
Space-group type: F-43m, No. 216



Stability ranking, top and bottom: P is the most stable and Q is the least stable.



--- P ---
Compound: Be2Tc
Source: the Open Quantum Materials Database
Functional: GGA-PBE
Structure: relaxed

abc: 7.222 7.222 7.222
angles: 60.00 60.00 60.00
Element x y z (fractional)
Be 0.000 0.000 0.000
Be 0.000 0.000 0.500
Be 0.000 0.500 0.000
Be 0.500 0.000 0.000
Tc 0.125 0.125 0.125
Tc 0.875 0.875 0.875

Properties
M_tot (μB per formula unit): 1.00
Space-group type: Fd-3m, No. 227



--- Q ---
Compound: Be2Tc
Source: the Open Quantum Materials Database
Functional: GGA-PBE
Structure: relaxed

abc: 4.364 4.364 4.364
angles: 60.00 60.00 60.00
Element x y z (fractional)
Be 0.000 0.000 0.000
Be 0.000 0.000 0.500
Be 0.000 0.500 0.000
Be 0.500 0.000 0.000
Tc 0.375 0.375 0.375
Tc 0.625 0.625 0.625

Properties
M_tot (μB per formula unit): 0.00
Space-group type: Fd-3m, No. 227



Stability ranking, top and bottom: Q is the most stable and P is the least stable.



--- P ---
Compound: BeTc
Source: the Open Quantum Materials Database
Functional: GGA-PBE
Structure: relaxed

abc: 2.674 2.674 3.926
angles: 90.00 90.00 120.00
Element x y z (fractional)
Be 0.000 0.000 0.000
Tc 0.667 0.333 0.500

Properties
M_tot (μB per formula unit): 0.01
Space-group type: P-6m2, No. 187



--- Q ---
Compound: BeTc
Source: the Open Quantum Materials Database
Functional: GGA-PBE
Structure: relaxed

abc: 3.478 3.478 3.478
angles: 60.00 60.00 60.00
Element x y z (fractional)
Be 0.000 0.000 0.000
Tc 0.750 0.750 0.750

Properties
M_tot (μB per formula unit): 0.18
Space-group type: F-43m, No. 216



Stability ranking, top and bottom: P is the most stable and Q is the least stable.